First-principles (PBE-GGA) data for a relaxed structure of Mg2TcTe, as listed in Alexandria via LeMat-Bulk.

Calculated values
Volume (Å³/atom): 18.9
SG: F-43m
Formation energy without anion corrections (meV/atom): 277
VASP energy (eV per atom): -3.90

a b c (Å): 6.709 6.709 6.709
angles (deg): 90.00 90.00 90.00
Atoms (fractional coordinates):
Mg 0.000 0.000 0.000
Mg 0.000 0.500 0.500
Mg 0.250 0.250 0.250
Mg 0.250 0.750 0.750
Mg 0.500 0.000 0.500
Mg 0.500 0.500 0.000
Mg 0.750 0.250 0.750
Mg 0.750 0.750 0.250
Tc 0.000 0.000 0.500
Tc 0.000 0.500 0.000
Tc 0.500 0.000 0.000
Tc 0.500 0.500 0.500
Te 0.250 0.250 0.750
Te 0.250 0.750 0.250
Te 0.750 0.250 0.250
Te 0.750 0.750 0.750